1.
! SrTaO3 GGA-PBE optimized geometry; values from VASP
&SYSTEM
  ibrav = 0, nat = 10, ntyp = 3
/
ATOMIC_SPECIES
O 16.00 O.upf
Sr 87.62 Sr.upf
Ta 180.95 Ta.upf
CELL_PARAMETERS angstrom
-1.235 3.104 5.294
2.193 -1.377 5.700
4.061 3.408 3.330
ATOMIC_POSITIONS crystal
O 0.943 0.309 0.537
Sr 0.864 0.864 0.864
Ta 0.344 0.344 0.344
O 0.691 0.463 0.057
Sr 0.136 0.136 0.136
O 0.463 0.057 0.691
O 0.309 0.537 0.943
O 0.537 0.943 0.309
Ta 0.656 0.656 0.656
O 0.057 0.691 0.463
! uncorrected formation energy	-2.645	eV/atom
! spin magnetization	1.00	μB/f.u.
! energy	-8.33	eV per atom

---

2.
! Cs2Os2Pt GGA-PBE optimized geometry; values from VASP
&SYSTEM
  ibrav = 0, nat = 10, ntyp = 3
/
ATOMIC_SPECIES
Os 190.23 Os.upf
Cs 132.91 Cs.upf
Pt 195.08 Pt.upf
CELL_PARAMETERS angstrom
6.637 0.000 0.000
0.000 6.637 0.000
0.000 0.000 6.083
ATOMIC_POSITIONS crystal
Os 0.379 0.879 0.000
Os 0.121 0.379 0.000
Cs 0.185 0.685 0.500
Pt 0.500 0.500 0.000
Os 0.879 0.621 0.000
Pt 0.000 0.000 0.000
Os 0.621 0.121 0.000
Cs 0.315 0.185 0.500
Cs 0.685 0.815 0.500
Cs 0.815 0.315 0.500
! formation energy	0.956	eV per atom
! spin magnetization	0.00	μB/f.u.
! energy	-5.09	eV per atom

---

3.
! Rb3DyCr2S6 GGA-PBE optimized geometry; values from VASP
&SYSTEM
  ibrav = 0, nat = 12, ntyp = 4
/
ATOMIC_SPECIES
S 32.06 S.upf
Cr 52.00 Cr.upf
Rb 85.47 Rb.upf
Dy 162.50 Dy.upf
CELL_PARAMETERS angstrom
6.594 0.000 -0.003
-3.295 5.712 -0.003
-1.105 -1.912 7.561
ATOMIC_POSITIONS crystal
S 0.697 0.697 0.175
Cr 0.667 0.333 0.000
S 0.059 0.421 0.177
S 0.303 0.303 0.825
Rb 0.500 0.500 0.500
Dy 0.000 0.000 0.000
Rb 0.161 0.839 0.500
S 0.579 0.941 0.823
S 0.421 0.059 0.177
Cr 0.333 0.667 0.000
S 0.941 0.579 0.823
Rb 0.839 0.161 0.500
! uncorrected formation energy	-1.163	eV/atom
! spin magnetization	6.00	μB/f.u.
! energy	-5.46	eV per atom

---

4.
! La2Ir GGA-PBE optimized geometry; values from VASP
&SYSTEM
  ibrav = 0, nat = 3, ntyp = 2
/
ATOMIC_SPECIES
Ir 192.22 Ir.upf
La 138.91 La.upf
CELL_PARAMETERS angstrom
4.260 0.000 0.000
-2.130 3.689 0.000
0.000 0.000 6.666
ATOMIC_POSITIONS crystal
Ir 0.000 0.000 0.000
La 0.667 0.333 0.776
La 0.333 0.667 0.224
! formation energy	-0.615	eV per atom
! spin magnetization	0.00	μB/f.u.
! energy	-6.85	eV per atom

---

5.
! K2VAsS4 GGA-PBE optimized geometry; values from VASP
&SYSTEM
  ibrav = 0, nat = 16, ntyp = 4
/
ATOMIC_SPECIES
V 50.94 V.upf
S 32.06 S.upf
As 74.92 As.upf
K 39.10 K.upf
CELL_PARAMETERS angstrom
-0.619 3.760 3.377
-6.681 3.530 -1.317
-5.902 -5.868 9.290
ATOMIC_POSITIONS crystal
V 0.000 0.000 0.000
S 0.960 0.793 0.884
V 0.750 0.500 0.500
S 0.155 0.207 0.884
S 0.790 0.707 0.616
As 0.500 0.000 0.000
S 0.246 0.793 0.116
S 0.504 0.707 0.384
K 0.172 0.000 0.657
S 0.638 0.207 0.116
S 0.112 0.293 0.384
K 0.578 0.500 0.843
As 0.250 0.500 0.500
S 0.595 0.293 0.616
K 0.828 0.000 0.343
K 0.922 0.500 0.157
! uncorrected formation energy	-0.641	eV/atom
! spin magnetization	0.00	μB/f.u.
! energy	-4.70	eV per atom

---

6.
! TbScInAu GGA-PBE optimized geometry; values from VASP
&SYSTEM
  ibrav = 0, nat = 4, ntyp = 4
/
ATOMIC_SPECIES
Au 196.97 Au.upf
Sc 44.96 Sc.upf
Tb 158.93 Tb.upf
In 114.82 In.upf
CELL_PARAMETERS angstrom
-0.265 3.699 3.496
-3.983 3.179 0.049
-3.439 -0.280 3.752
ATOMIC_POSITIONS crystal
Au 0.000 0.000 0.000
Sc 0.750 0.750 0.750
Tb 0.250 0.250 0.250
In 0.500 0.500 0.500
! formation energy	-0.586	eV per atom
! spin magnetization	0.00	μB/f.u.
! energy	-4.83	eV per atom

---

7.
! CaMg3B GGA-PBE optimized geometry; values from VASP
&SYSTEM
  ibrav = 0, nat = 5, ntyp = 3
/
ATOMIC_SPECIES
Mg 24.30 Mg.upf
B 10.81 B.upf
Ca 40.08 Ca.upf
CELL_PARAMETERS angstrom
-3.602 2.197 -2.226
-2.611 -0.241 3.986
1.724 4.228 1.384
ATOMIC_POSITIONS crystal
Mg 0.000 0.500 0.000
B 0.000 0.000 0.000
Ca 0.500 0.500 0.500
Mg 0.000 0.000 0.500
Mg 0.500 0.000 0.000
! formation energy	0.241	eV per atom
! spin magnetization	0.00	μB/f.u.
! energy	-2.45	eV per atom

---

8.
! GaRu2N GGA-PBE optimized geometry; values from VASP
&SYSTEM
  ibrav = 0, nat = 4, ntyp = 3
/
ATOMIC_SPECIES
N 14.01 N.upf
Ru 101.07 Ru.upf
Ga 69.72 Ga.upf
CELL_PARAMETERS angstrom
0.000 2.930 2.930
2.930 0.000 2.930
2.930 2.930 0.000
ATOMIC_POSITIONS crystal
N 0.000 0.000 0.000
Ru 0.750 0.750 0.750
Ru 0.250 0.250 0.250
Ga 0.500 0.500 0.500
! uncorrected formation energy	0.907	eV/atom
! spin magnetization	0.00	μB/f.u.
! energy	-6.57	eV per atom

---

9.
! RbNbP2Cl GGA-PBE optimized geometry; values from VASP
&SYSTEM
  ibrav = 0, nat = 5, ntyp = 4
/
ATOMIC_SPECIES
Cl 35.45 Cl.upf
P 30.97 P.upf
Nb 92.91 Nb.upf
Rb 85.47 Rb.upf
CELL_PARAMETERS angstrom
5.216 0.000 0.000
0.000 5.216 0.000
0.000 0.000 5.317
ATOMIC_POSITIONS crystal
Cl 0.000 0.000 0.500
P 0.000 0.500 0.000
Nb 0.500 0.500 0.500
P 0.500 0.000 0.000
Rb 0.000 0.000 0.000
! uncorrected formation energy	1.927	eV/atom
! spin magnetization	0.19	μB/f.u.
! energy	-2.81	eV per atom

---

10.
! Nd2UTl3Te6 GGA-PBE optimized geometry; values from VASP
&SYSTEM
  ibrav = 0, nat = 12, ntyp = 4
/
ATOMIC_SPECIES
Te 127.60 Te.upf
Nd 144.24 Nd.upf
Tl 204.38 Tl.upf
U 238.03 U.upf
CELL_PARAMETERS angstrom
7.849 -0.001 0.001
-3.924 6.798 0.001
-1.308 -2.265 8.218
ATOMIC_POSITIONS crystal
Te 0.402 0.073 0.219
Nd 0.334 0.666 0.000
Tl 0.168 0.832 0.500
U 0.000 0.000 0.000
Tl 0.500 0.500 0.500
Te 0.745 0.745 0.221
Tl 0.832 0.168 0.500
Nd 0.666 0.334 0.000
Te 0.598 0.927 0.781
Te 0.255 0.255 0.779
Te 0.073 0.402 0.219
Te 0.927 0.598 0.781
! uncorrected formation energy	-0.883	eV/atom
! spin magnetization	3.02	μB/f.u.
! energy	-4.78	eV per atom

---

11.
! AsSF GGA-PBE optimized geometry; values from VASP
&SYSTEM
  ibrav = 0, nat = 18, ntyp = 3
/
ATOMIC_SPECIES
F 19.00 F.upf
As 74.92 As.upf
S 32.06 S.upf
CELL_PARAMETERS angstrom
-10.081 0.310 3.143
6.564 -4.552 3.751
2.069 2.571 6.384
ATOMIC_POSITIONS crystal
F 0.722 0.592 0.454
As 0.103 0.547 0.245
S 0.109 0.757 0.372
S 0.823 0.254 0.393
As 0.852 0.000 0.500
As 0.556 0.453 0.755
As 0.852 0.000 0.000
S 0.568 0.746 0.607
F 0.081 0.660 0.920
F 0.988 0.158 0.171
As 0.556 0.453 0.293
F 0.831 0.842 0.829
F 0.131 0.408 0.546
S 0.352 0.243 0.628
S 0.568 0.746 0.147
S 0.823 0.254 0.853
F 0.421 0.340 0.080
As 0.103 0.547 0.707
! uncorrected formation energy	-0.795	eV/atom
! spin magnetization	0.00	μB/f.u.
! energy	-4.34	eV per atom

---

12.
! Rb3AsO4 GGA-PBE optimized geometry; values from VASP
&SYSTEM
  ibrav = 0, nat = 16, ntyp = 3
/
ATOMIC_SPECIES
O 16.00 O.upf
Rb 85.47 Rb.upf
As 74.92 As.upf
CELL_PARAMETERS angstrom
6.262 0.000 0.000
0.000 6.430 0.000
0.000 0.000 8.564
ATOMIC_POSITIONS crystal
O 0.003 0.356 0.168
Rb 0.002 0.286 0.500
Rb 0.501 0.219 0.245
O 0.503 0.644 0.332
As 0.502 0.795 0.500
O 0.724 0.957 0.500
O 0.779 0.045 0.000
Rb 0.501 0.219 0.755
Rb 0.502 0.714 0.000
O 0.503 0.644 0.668
O 0.224 0.043 0.000
Rb 0.001 0.781 0.255
Rb 0.001 0.781 0.745
O 0.003 0.356 0.832
As 0.002 0.205 0.000
O 0.279 0.955 0.500
! uncorrected formation energy	-1.662	eV/atom
! spin magnetization	0.00	μB/f.u.
! energy	-5.09	eV per atom

---

What is the spin magnetization in the eleventh record? 0.00 μB/f.u.

---

energy of number 2 (Cs2Os2Pt)? -5.09 eV per atom

---

What is the formula in the twelfth record? Rb3AsO4